Compound: NbBiMoO6
Source: the Alexandria database
Functional: GGA+U
Structure: relaxed

```
NbBiMoO6
1.0
4.9736 0.0000 0.0000
0.0000 4.9736 0.0000
0.0000 0.0000 9.9194
Nb Bi Mo O
2 2 2 12
Cartesian
0.0000 0.0000 0.0000 Nb
2.4868 2.4868 4.9597 Nb
0.0000 0.0000 6.5980 Bi
2.4868 2.4868 1.6383 Bi
0.0000 0.0000 3.3253 Mo
2.4868 2.4868 8.2850 Mo
0.8642 0.8642 1.6247 O
1.0457 1.0457 8.4919 O
1.0653 1.0653 4.7832 O
1.4215 3.5521 9.7429 O
1.4411 3.5325 3.5322 O
1.6226 3.3510 6.5844 O
3.3510 1.6226 6.5844 O
3.5325 1.4411 3.5322 O
3.5521 1.4215 9.7429 O
3.9083 3.9083 4.7832 O
3.9279 3.9279 8.4919 O
4.1093 4.1093 1.6247 O
```

* calculated volume: 245.4 Å³ per cell
* raw total energy: -7.519 eV per atom
* magnetization: 4.0 μB/cell